Below is NaMgInAg after structural relaxation, with properties calculated at the PBE level.

Summary:
formation enthalpy at 0 K = -70 meV/atom
E = -2.20 eV per atom
density = 5.169 g/cm3
energy above the most stable polymorph in this dataset = 1 kJ/mol of formula units
total moment = 0.0000 μB per atom
Fermi-level density of states = 1.669 states/eV/f.u.

Lattice parameters (Å, degrees): 4.9684 4.9684 4.9684 60.00 60.00 60.00
Closest atoms and distances in Å follow each position.
Positions (direct):
In (0.5000, 0.5000, 0.5000)  4 Mg 3.04, 4 Ag 3.04
Na (0.0000, 0.0000, 0.0000)  4 Mg 3.04, 4 Ag 3.04
Mg (0.7500, 0.7500, 0.7500)  4 In 3.04, 4 Na 3.04
Ag (0.2500, 0.2500, 0.2500)  4 In 3.04, 4 Na 3.04

Below is Mg3In3NiAg2 after structural relaxation, with properties calculated at the PBE level.

Summary:
formation enthalpy at 0 K = -169 meV/atom
E = -2.89 eV per atom
density = 6.489 g/cm3
total moment = 0.0000 μB per atom
Fermi-level density of states = 3.356 states/eV/f.u.

Lattice parameters (Å, degrees): 3.2821 7.8921 7.8921 120.00 90.00 90.00
Closest atoms and distances in Å follow each position.
Positions (direct):
In (0.5000, 0.2683, 0.2683)  2 Ni 2.68, 2 Ag 2.92
In (0.5000, 0.7317, 0.0000)  2 Ni 2.68, 2 Ag 2.92
In (0.5000, 0.0000, 0.7317)  2 Ni 2.68, 2 Ag 2.92
Ag (0.5000, 0.6667, 0.3333)  3 In 2.92, 6 Mg 2.96
Ag (0.5000, 0.3333, 0.6667)  3 In 2.92, 6 Mg 2.96
Ni (0.0000, 0.0000, 0.0000)  6 In 2.68
Mg (0.0000, 0.3812, 0.0000)  4 Ag 2.96, 1 Ni 3.01, 6 In 3.14-3.22, 2 Mg 3.28
Mg (0.0000, 0.0000, 0.3812)  4 Ag 2.96, 1 Ni 3.01, 6 In 3.14-3.22, 2 Mg 3.28
Mg (0.0000, 0.6188, 0.6188)  4 Ag 2.96, 1 Ni 3.01, 6 In 3.14-3.22, 2 Mg 3.28

Below is Mg3In3Ni2Ag after structural relaxation, with properties calculated at the PBE level.

Summary:
formation enthalpy at 0 K = -95 meV/atom
E = -3.14 eV per atom
density = 6.460 g/cm3
total moment = 0.0000 μB per atom
Fermi-level density of states = 3.529 states/eV/f.u.

Lattice parameters (Å, degrees): 3.2413 7.6710 7.6710 120.00 90.00 90.00
Closest atoms and distances in Å follow each position.
Positions (direct):
Ag (0.0000, 0.0000, 0.0000)  6 Mg 2.75, 3 In 2.95
Mg (0.5000, 0.0000, 0.7097)  2 Ni 2.74, 2 Ag 2.75, 2 In 2.97
Mg (0.5000, 0.7097, 0.0000)  2 Ni 2.74, 2 Ag 2.75, 2 In 2.97
Mg (0.5000, 0.2903, 0.2903)  2 Ni 2.74, 2 Ag 2.75, 2 In 2.97
In (0.0000, 0.3850, 0.0000)  4 Ni 2.88, 1 Ag 2.95, 6 Mg 2.97-3.12
In (0.0000, 0.0000, 0.3850)  4 Ni 2.88, 1 Ag 2.95, 6 Mg 2.97-3.12
In (0.0000, 0.6150, 0.6150)  4 Ni 2.88, 1 Ag 2.95, 6 Mg 2.97-3.12
Ni (0.5000, 0.3333, 0.6667)  3 Mg 2.74, 6 In 2.88
Ni (0.5000, 0.6667, 0.3333)  3 Mg 2.74, 6 In 2.88

Below is MgInAgPb after structural relaxation, with properties calculated at the PBE level.

Summary:
formation enthalpy at 0 K = 34 meV/atom
E = -2.69 eV per atom
density = 7.874 g/cm3
total moment = 0.0000 μB per atom
Fermi-level density of states = 2.258 states/eV/f.u.

Lattice parameters (Å, degrees): 5.1358 5.1358 5.1358 60.00 60.00 60.00
Closest atoms and distances in Å follow each position.
Positions (direct):
Ag (0.7500, 0.7500, 0.7500)  4 In 3.15, 4 Pb 3.15
Mg (0.2500, 0.2500, 0.2500)  4 Pb 3.15, 4 In 3.15
In (0.5000, 0.5000, 0.5000)  4 Mg 3.15, 4 Ag 3.15
Pb (0.0000, 0.0000, 0.0000)  4 Ag 3.15, 4 Mg 3.15

Below is Mg5In2Ag2Pd after structural relaxation, with properties calculated at the PBE level.

Summary:
formation enthalpy at 0 K = -224 meV/atom
E = -2.66 eV per atom
density = 5.349 g/cm3
total moment = 0.0000 μB per atom
Fermi-level density of states = 4.183 states/eV/f.u.

Lattice parameters (Å, degrees): 3.3615 11.1516 11.1516 90.00 90.00 90.00
Closest atoms and distances in Å follow each position.
Positions (direct):
Mg (0.5000, 0.0383, 0.8087)  2 Pd 2.75, 2 Ag 2.77, 2 Mg 3.08
Mg (0.5000, 0.3087, 0.5383)  2 Pd 2.75, 2 Ag 2.77, 2 Mg 3.08
Mg (0.5000, 0.5383, 0.6913)  2 Pd 2.75, 2 Ag 2.77, 2 Mg 3.08
Mg (0.5000, 0.4617, 0.3087)  2 Pd 2.75, 2 Ag 2.77, 2 Mg 3.08
Mg (0.5000, 0.6913, 0.4617)  2 Pd 2.75, 2 Ag 2.77, 2 Mg 3.08
Mg (0.5000, 0.1913, 0.0383)  2 Pd 2.75, 2 Ag 2.77, 2 Mg 3.08
Mg (0.5000, 0.9617, 0.1913)  2 Pd 2.75, 2 Ag 2.77, 2 Mg 3.08
Mg (0.5000, 0.0000, 0.5000)  4 Ag 2.76
Mg (0.5000, 0.8087, 0.9617)  2 Pd 2.75, 2 Ag 2.77, 2 Mg 3.08
Mg (0.5000, 0.5000, 0.0000)  4 Ag 2.76
In (0.0000, 0.3242, 0.8242)  1 Ag 2.93, 6 Mg 3.24-3.27
In (0.0000, 0.6758, 0.1758)  1 Ag 2.93, 6 Mg 3.24-3.27
In (0.0000, 0.8242, 0.6758)  1 Ag 2.93, 6 Mg 3.24-3.27
In (0.0000, 0.1758, 0.3242)  1 Ag 2.93, 6 Mg 3.24-3.27
Ag (0.0000, 0.3613, 0.1387)  6 Mg 2.76-2.77, 1 In 2.93
Ag (0.0000, 0.8613, 0.3613)  6 Mg 2.76-2.77, 1 In 2.93
Ag (0.0000, 0.6387, 0.8613)  6 Mg 2.76-2.77, 1 In 2.93
Ag (0.0000, 0.1387, 0.6387)  6 Mg 2.76-2.77, 1 In 2.93
Pd (0.0000, 0.5000, 0.5000)  8 Mg 2.75
Pd (0.0000, 0.0000, 0.0000)  8 Mg 2.75

Below is Mg4InAg2Pd after structural relaxation, with properties calculated at the PBE level.

Summary:
formation enthalpy at 0 K = -315 meV/atom
E = -2.82 eV per atom
density = 5.866 g/cm3
total moment = 0.0000 μB per atom
Fermi-level density of states = 3.166 states/eV/f.u.

Lattice parameters (Å, degrees): 4.7169 4.7169 8.3075 73.51 73.51 60.00
Closest atoms and distances in Å follow each position.
Positions (direct):
In (0.0000, 0.0000, 0.0000)  8 Mg 2.97-3.10
Mg (0.8685, 0.8685, 0.3945)  4 Ag 2.80-2.96, 3 Pd 2.85, 1 In 3.10
Mg (0.6159, 0.6159, 0.1522)  1 Pd 2.73, 3 Ag 2.83, 3 In 2.97
Mg (0.3841, 0.3841, 0.8478)  1 Pd 2.73, 3 Ag 2.83, 3 In 2.97
Mg (0.1315, 0.1315, 0.6055)  4 Ag 2.80-2.96, 3 Pd 2.85, 1 In 3.10
Ag (0.2506, 0.2506, 0.2483)  7 Mg 2.80-2.96
Ag (0.7494, 0.7494, 0.7517)  7 Mg 2.80-2.96
Pd (0.5000, 0.5000, 0.5000)  8 Mg 2.73-2.85